# PBE-GGA HoGaBi, optimized geometry
# * crystal system: trigonal
# * final energy: -4.121 eV/atom
# * energy of formation from the pure elements: -0.293 eV/atom
# * total magnetic moment: 0.00 μB per atom
data_HoGaBi
_cell_length_a 4.9457
_cell_length_b 4.9457
_cell_length_c 3.7794
_cell_angle_alpha 90.00
_cell_angle_beta 90.00
_cell_angle_gamma 120.00
_symmetry_space_group_name_H-M 'P 3 m 1'
_symmetry_Int_Tables_number 156
loop_
_symmetry_equiv_pos_as_xyz
'x,y,z'
'-y,x-y,z'
'-x+y,-x,z'
'-y,-x,z'
'-x+y,y,z'
'x,x-y,z'
loop_
_atom_site_label
_atom_site_type_symbol
_atom_site_fract_x
_atom_site_fract_y
_atom_site_fract_z
Ho1 Ho 0.0000 0.0000 0.0000
Ga1 Ga 0.6667 0.3333 0.3464
Bi1 Bi 0.3333 0.6667 0.5450